(1)
ZrAlV: relaxed, PBE-GGA.

DFT formation energy ... -0.18 eV per atom
Offset from the most stable computed form ... 111.2 meV/atom
Total magnetic moment ... 0.00 μB per formula unit

Cell: 6.152 3.309 10.636 Å, 90.00 105.34 90.00°
Atoms (fractional coordinates):
Zr 0.747 0.000 0.492
Zr 0.253 0.500 0.008
Zr 0.253 0.000 0.508
Zr 0.747 0.500 0.992
Al 0.613 0.000 0.188
Al 0.613 0.500 0.688
Al 0.387 0.000 0.812
Al 0.387 0.500 0.312
V 0.936 0.000 0.824
V 0.064 0.500 0.676
V 0.064 0.000 0.176
V 0.936 0.500 0.324

---

(2)
GdPuCoIr: relaxed, PBE-GGA.

DFT formation energy ... -0.31 eV per atom
Total magnetic moment ... 11.32 μB per formula unit

Cell: 4.819 4.819 4.819 Å, 60.00 60.00 60.00°
Atoms (fractional coordinates):
Pu 0.750 0.750 0.750
Ir 0.000 0.000 0.000
Co 0.500 0.500 0.500
Gd 0.250 0.250 0.250

---

For each record above, in turn, the calculated volume values are 17.4; 19.8 Å³/atom.
For each record above, in turn, the calculated ρ values are 5.4; 13.7 g cm⁻³.